# 1
This record from Alexandria describes an optimized crystal structure of LaY2Ta. The functional is PBE.

Summary:
**Offset from the most stable computed form**: 122.8 meV/atom
**Raw total energy**: -7.033 eV per atom
**Formation enthalpy at 0 K**: 0.3937 eV per atom

a b c (Å): 5.831 5.831 5.831
angles (deg): 130.63 130.52 72.50
Sites, in units of the cell vectors:
La 0.000 0.000 0.000
Y 0.500 0.500 0.000
Y 0.750 0.250 0.500
Ta 0.250 0.750 0.500

---

# 2
This record from Alexandria describes an optimized crystal structure of La2YTa. The functional is PBE.

Summary:
**Offset from the most stable computed form**: 104.0 meV/atom
**Raw total energy**: -6.620 eV per atom
**Formation enthalpy at 0 K**: 0.4226 eV per atom

a b c (Å): 5.880 5.880 5.880
angles (deg): 130.47 130.47 72.66
Sites, in units of the cell vectors:
La 0.250 0.750 0.500
La 0.750 0.250 0.500
Y 0.000 0.000 0.000
Ta 0.500 0.500 0.000